No. 1
KCoAgF5: relaxed, GGA+U.

total magnetization: 0.1 Bohr magnetons per cell
final energy: -4.1889 eV/atom
volume: 14.83 A^3/atom

Cell and atoms, written as CIF:
```
data_KCoAgF5
_chemical_formula_sum 'K2 Co2 Ag2 F10'
_symmetry_space_group_name_H-M 'P 1'
_symmetry_Int_Tables_number 1
_cell_length_a 6.066
_cell_length_b 6.066
_cell_length_c 7.341
_cell_angle_alpha 94.86
_cell_angle_beta 94.86
_cell_angle_gamma 117.12
loop_
_symmetry_equiv_pos_as_xyz
'x,y,z'
loop_
_atom_site_label
_atom_site_type_symbol
_atom_site_fract_x
_atom_site_fract_y
_atom_site_fract_z
K1 K 0.169 0.831 0.750
K2 K 0.831 0.169 0.250
Co1 Co 0.500 0.500 0.000
Co2 Co 0.500 0.500 0.500
Ag1 Ag 0.161 0.839 0.250
Ag2 Ag 0.839 0.161 0.750
F1 F 0.166 0.258 0.983
F2 F 0.247 0.583 0.432
F3 F 0.258 0.166 0.483
F4 F 0.417 0.753 0.068
F5 F 0.441 0.559 0.750
F6 F 0.559 0.441 0.250
F7 F 0.583 0.247 0.932
F8 F 0.742 0.834 0.517
F9 F 0.753 0.417 0.568
F10 F 0.834 0.742 0.017
```

No. 2
K3Co2AgF8: relaxed, GGA+U.

total magnetization: 5.8 Bohr magnetons per cell
D(E_F): 0.000 states/eV per cell
final energy: -4.4255 eV/atom
volume: 18.26 A^3/atom

Cell and atoms, written as CIF:
```
data_K3Co2AgF8
_chemical_formula_sum 'K3 Co2 Ag1 F8'
_symmetry_space_group_name_H-M 'P 1'
_symmetry_Int_Tables_number 1
_cell_length_a 6.149
_cell_length_b 6.149
_cell_length_c 7.808
_cell_angle_alpha 90.00
_cell_angle_beta 90.00
_cell_angle_gamma 120.00
loop_
_symmetry_equiv_pos_as_xyz
'x,y,z'
loop_
_atom_site_label
_atom_site_type_symbol
_atom_site_fract_x
_atom_site_fract_y
_atom_site_fract_z
K1 K 0.000 0.000 0.000
K2 K 0.333 0.667 0.628
K3 K 0.667 0.333 0.372
Co1 Co 0.333 0.667 0.186
Co2 Co 0.667 0.333 0.814
Ag1 Ag 0.000 0.000 0.500
F1 F 0.171 0.342 0.301
F2 F 0.171 0.829 0.301
F3 F 0.333 0.667 0.945
F4 F 0.342 0.171 0.699
F5 F 0.658 0.829 0.301
F6 F 0.667 0.333 0.055
F7 F 0.829 0.171 0.699
F8 F 0.829 0.658 0.699
```

Among the records above, which one has the lowest total magnetization?
KCoAgF5